No. 1
{
  "formula": "Co3SbAs",
  "functional": "PBE",
  "state": "optimized geometry",
  "formation_energy_uncorrected_ev_per_atom": 1.242,
  "magmom_total_mub_per_fu": 2.7,
  "relative_energy_ev_per_fu": 3.56,
  "cell": [[4.618, 0.000, 0.000], [0.000, 4.618, 0.000], [0.000, 0.000, 4.618]],
  "species": ["Sb", "As", "Co", "Co", "Co"],
  "fractional_positions": [[0.000, 0.000, 0.000], [0.500, 0.500, 0.500], [0.000, 0.500, 0.000], [0.000, 0.000, 0.500], [0.500, 0.000, 0.000]]
}

No. 2
{
  "formula": "Pm2GeBi",
  "functional": "PBE",
  "state": "optimized geometry",
  "magmom_total_mub_per_fu": 0.0,
  "relative_energy_ev_per_fu": 0.08,
  "cell": [[-1.485, 0.391, 4.061], [2.946, -3.046, -0.946], [5.482, 5.578, -0.848]],
  "species": ["Pm", "Pm", "Ge", "Bi"],
  "fractional_positions": [[0.515, 0.258, 0.773], [0.485, 0.742, 0.227], [0.000, 0.000, 0.000], [0.000, 0.500, 0.500]]
}

No. 3
{
  "formula": "TbPrNdSm",
  "functional": "PBE",
  "state": "optimized geometry",
  "magmom_total_mub_per_fu": 0.0,
  "relative_energy_ev_per_fu": 0.44,
  "cell": [[-3.816, 3.482, 2.619], [-2.027, -1.356, 5.254], [1.608, 3.108, 4.615]],
  "species": ["Pr", "Nd", "Tb", "Sm"],
  "fractional_positions": [[0.750, 0.750, 0.750], [0.250, 0.250, 0.250], [0.000, 0.000, 0.000], [0.500, 0.500, 0.500]]
}

No. 4
{
  "formula": "ErHgGe2",
  "functional": "PBE",
  "state": "optimized geometry",
  "magmom_total_mub_per_fu": 0.0,
  "final_energy_ev_per_atom": -3.8827,
  "cell": [[-0.542, -2.252, 3.437], [4.415, 0.193, 0.822], [-0.606, 3.768, 2.374]],
  "species": ["Ge", "Ge", "Hg", "Er"],
  "fractional_positions": [[0.000, 0.000, 0.500], [0.000, 0.500, 0.000], [0.500, 0.000, 0.000], [0.500, 0.500, 0.500]]
}